NdY10Tm4 (GGA-PBE, optimized geometry); DOS(E_F) = 18.91 states/eV/cell; ΔH_f (0 K) = 0.7329 eV per atom; space-group type = No. 87; electronic total energy = -5.09 eV/atom; calculated volume = 566.4 Å³ per cell
1.0
-6.0727 6.0727 3.8395
6.0727 -6.0727 3.8395
6.0727 6.0727 -3.8395
Nd Y Tm
1 10 4
direct
0.0000 0.0000 0.0000
0.0510 0.1512 0.6974
0.1512 0.4537 0.1001
0.2500 0.7500 0.5000
0.3536 0.0510 0.8999
0.4537 0.3536 0.3026
0.5463 0.6464 0.6974
0.6464 0.9490 0.1001
0.7500 0.2500 0.5000
0.8488 0.5463 0.8999
0.9490 0.8488 0.3026
0.1988 0.5994 0.7983
0.4006 0.1988 0.5994
0.5994 0.8012 0.4006
0.8012 0.4006 0.2017

TlZnRuF6 (GGA-PBE, optimized geometry); DOS(E_F) = 10.13 states/eV/cell; space-group type = No. 74; formation energy from raw total energies = -181.4 kJ per mole of atoms; electronic total energy = -4.56 eV/atom; calculated volume = 296.7 Å³ per cell
1.0
-3.7002 3.7416 5.3575
3.7002 -3.7416 5.3575
3.7002 3.7416 -5.3575
Tl Zn Ru F
2 2 2 12
direct
0.3302 0.0802 0.2500
0.6698 0.9198 0.7500
0.0000 0.0000 0.5000
0.0000 0.5000 0.0000
0.0000 0.5000 0.5000
0.5000 0.5000 0.0000
0.0706 0.8206 0.2500
0.0724 0.4173 0.2487
0.0724 0.8237 0.6552
0.3222 0.5722 0.7500
0.3314 0.1763 0.7487
0.3314 0.5827 0.1552
0.6686 0.4173 0.8448
0.6686 0.8237 0.2513
0.6778 0.4278 0.2500
0.9276 0.1763 0.3448
0.9276 0.5827 0.7513
0.9294 0.1794 0.7500

NdScHg (GGA-PBE, optimized geometry); DOS(E_F) = 4.74 states/eV/cell; ΔH_f (0 K) = -0.2208 eV per atom; space-group type = No. 156; electronic total energy = -4.02 eV/atom; calculated volume = 82.5 Å³ per cell
1.0
4.9781 0.0000 0.0000
-2.4890 4.3111 0.0000
0.0000 0.0000 3.8443
Nd Sc Hg
1 1 1
direct
0.0000 0.0000 0.0000
0.3333 0.6667 0.5003
0.6667 0.3333 0.4988

TbHoTl (GGA-PBE, optimized geometry); DOS(E_F) = 19.73 states/eV/cell; ΔH_f (0 K) = 0.0837 eV per atom; space-group type = No. 131; electronic total energy = -3.77 eV/atom; calculated volume = 391.0 Å³ per cell
1.0
8.0449 0.0000 0.0000
0.0000 8.0449 0.0000
0.0000 0.0000 6.0413
Tb Ho Tl
4 4 4
direct
0.0000 0.2051 0.0000
0.0000 0.7949 0.0000
0.2051 0.0000 0.5000
0.7949 0.0000 0.5000
0.2071 0.5000 0.5000
0.5000 0.2071 0.0000
0.5000 0.7929 0.0000
0.7929 0.5000 0.5000
0.2483 0.5000 0.0000
0.5000 0.2483 0.5000
0.5000 0.7517 0.5000
0.7517 0.5000 0.0000

NaZr2HRu (GGA-PBE, optimized geometry); DOS(E_F) = 2.86 states/eV/cell; space-group type = No. 123; electronic total energy = -6.10 eV/atom; calculated volume = 79.2 Å³ per cell
1.0
4.5516 0.0000 0.0000
0.0000 4.5516 0.0000
0.0000 0.0000 3.8225
Na Zr H Ru
1 2 1 1
direct
0.0000 0.0000 0.0000
0.0000 0.5000 0.5000
0.5000 0.0000 0.5000
0.0000 0.0000 0.5000
0.5000 0.5000 0.0000

Tb2HoErRh4 (GGA-PBE, optimized geometry); DOS(E_F) = 3.37 states/eV/cell; ΔH_f (0 K) = -0.8877 eV per atom; space-group type = No. 166; electronic total energy = -6.86 eV/atom; calculated volume = 160.2 Å³ per cell
1.0
2.4181 1.3961 7.9104
-2.4181 1.3961 7.9104
0.0000 -2.7922 7.9104
Tb Ho Er Rh
2 1 1 4
direct
0.2499 0.2499 0.2499
0.7501 0.7501 0.7501
0.0000 0.0000 0.0000
0.5000 0.5000 0.5000
0.1252 0.1252 0.1252
0.3752 0.3752 0.3752
0.6248 0.6248 0.6248
0.8748 0.8748 0.8748

Ac8GaCo3Br4 (GGA-PBE, optimized geometry); DOS(E_F) = 11.39 states/eV/cell; space-group type = No. 166; formation energy from raw total energies = -72.5 kJ per mole of atoms; electronic total energy = -4.75 eV/atom; calculated volume = 536.6 Å³ per cell
1.0
4.3589 2.5166 8.1521
-4.3589 2.5166 8.1521
0.0000 -5.0332 8.1521
Ac Ga Co Br
8 1 3 4
direct
0.2106 0.7404 0.7404
0.2327 0.2327 0.2327
0.2596 0.2596 0.7894
0.2596 0.7894 0.2596
0.7404 0.2106 0.7404
0.7404 0.7404 0.2106
0.7673 0.7673 0.7673
0.7894 0.2596 0.2596
0.5000 0.5000 0.5000
0.0000 0.0000 0.5000
0.0000 0.5000 0.0000
0.5000 0.0000 0.0000
0.0000 0.0000 0.0000
0.0000 0.5000 0.5000
0.5000 0.0000 0.5000
0.5000 0.5000 0.0000

BeHgPd3 (GGA-PBE, optimized geometry); DOS(E_F) = 0.02 states/eV/cell; ΔH_f (0 K) = -0.1695 eV per atom; space-group type = No. 221; electronic total energy = -4.09 eV/atom; calculated volume = 79.2 Å³ per cell
1.0
4.2954 0.0000 0.0000
0.0000 4.2954 0.0000
0.0000 0.0000 4.2954
Be Hg Pd
1 1 3
direct
0.0000 0.0000 0.0000
0.5000 0.5000 0.5000
0.0000 0.0000 0.5000
0.0000 0.5000 0.0000
0.5000 0.0000 0.0000

Sr2SiTe4 (GGA-PBE, optimized geometry); DOS(E_F) = 0.06 states/eV/cell; space-group type = No. 11; formation energy from raw total energies = -87.9 kJ per mole of atoms; electronic total energy = -3.96 eV/atom; calculated volume = 560.5 Å³ per cell
1.0
6.9210 0.0000 0.0000
0.0000 7.8369 0.0000
-0.1293 0.0000 10.3340
Sr Si Te
4 2 8
direct
0.1634 0.2500 0.0030
0.1633 0.2500 0.4991
0.8367 0.7500 0.5009
0.8366 0.7500 0.9970
0.2127 0.7500 0.2522
0.7873 0.2500 0.7478
0.0203 0.5041 0.7502
0.0203 0.9959 0.7502
0.3556 0.7500 0.4752
0.3569 0.7500 0.0320
0.6431 0.2500 0.9680
0.6444 0.2500 0.5248
0.9797 0.0041 0.2498
0.9797 0.4959 0.2498

KBaCl3 (GGA-PBE, optimized geometry); DOS(E_F) = 0.00 states/eV/cell; space-group type = No. 59; formation energy from raw total energies = -218.2 kJ per mole of atoms; electronic total energy = -3.97 eV/atom; calculated volume = 352.4 Å³ per cell
1.0
4.7176 0.0000 0.0000
0.0000 7.6564 0.0000
0.0000 0.0000 9.7572
K Ba Cl
2 2 6
direct
0.2500 0.2500 0.1221
0.7500 0.7500 0.8779
0.2500 0.7500 0.3857
0.7500 0.2500 0.6143
0.2500 0.5150 0.6547
0.2500 0.7500 0.0747
0.2500 0.9850 0.6547
0.7500 0.0150 0.3453
0.7500 0.2500 0.9253
0.7500 0.4850 0.3453

DOS(E_F) of number 5 (NaZr2HRu)? 2.86 states/eV/cell

Among the records above, which one has the highest DOS(E_F)? TbHoTl